Record 1
The following is a PBE calculation of Ce3HoBi4 after structural relaxation, from Alexandria via LeMat-Bulk.

Output
- Polymorph energy (0 for the lowest one): 0.004 eV per atom
- E_form: -794 meV per atom

abc: 6.4615 6.4615 6.4615
angles: 90.00 90.00 90.00
Element x y z (fractional)
Ce 0.0000 0.5000 0.5000
Bi 0.5000 0.5000 0.5000
Bi 0.0000 0.5000 0.0000
Ho 0.0000 0.0000 0.0000
Bi 0.5000 0.0000 0.0000
Ce 0.5000 0.0000 0.5000
Ce 0.5000 0.5000 0.0000
Bi 0.0000 0.0000 0.5000

Record 2
The following is a PBE calculation of Sb2OsPb after structural relaxation, from Alexandria via LeMat-Bulk.

Output
- E_form (uncorrected): 0.892 eV per atom

abc: 4.2161 4.6918 4.6918
angles: 90.00 90.00 90.00
Element x y z (fractional)
Os 0.5000 0.5000 0.0000
Pb 0.5000 0.0000 0.5000
Sb 0.0000 0.0000 0.0000
Sb 0.0000 0.5000 0.5000

Ordered calculated total energy results: -5.531; -4.904; unit eV per atom.